The following is a DFT calculation (PBE with a Hubbard U) of a relaxed TlV2F6 crystal.

Computed properties:
symmetry: No. 162
density: 4.4 g cm⁻³
total magnetic moment: 5.00 Bohr magnetons per cell
E above lowest polymorph: 0 meV per atom
final energy: -51.61 eV/f.u.

Lattice parameters (Å, degrees): 5.5325 5.5325 6.0241 90.00 90.00 120.00
Closest atoms and distances in Å follow each position.
Element x y z (fractional)
Tl1 0.0000 0.0000 0.0000  6 F 2.82
V1 0.3333 0.6667 0.5000  6 F 2.06
V2 0.6667 0.3333 0.5000  6 F 2.06
F1 0.0000 0.3687 0.6776  2 V 2.06
F2 0.0000 0.6313 0.3224  2 V 2.06
F3 0.3687 0.0000 0.6776  2 V 2.06
F4 0.3687 0.3687 0.3224  2 V 2.06
F5 0.6313 0.0000 0.3224  2 V 2.06
F6 0.6313 0.6313 0.6776  2 V 2.06